SrCaNbPb2 | PBE | relaxed

## Properties
Total magnetization   0.000 μB/f.u.
ΔE_f   196 meV/atom

Unit cell a=5.6170 b=5.6170 c=5.4305 alpha=90.00 beta=90.00 gamma=90.00
Last column: nearest neighbours and their distance in Å.
Fractional positions:
1 Sr 0.0000 0.0000 0.0000  8 Pb 3.91, 4 Ca 3.97
2 Ca 0.5000 0.5000 0.0000  2 Nb 2.72
3 Nb 0.5000 0.5000 0.5000  2 Ca 2.72, 4 Pb 2.81
4 Pb 0.0000 0.5000 0.5000  2 Nb 2.81
5 Pb 0.5000 0.0000 0.5000  2 Nb 2.81


CaNbTcPb2 | PBE | relaxed

## Properties
Total magnetization   0.856 μB/f.u.
ΔE_f   1203 meV/atom

Unit cell a=5.3772 b=5.3772 c=5.1372 alpha=90.00 beta=90.00 gamma=90.00
Last column: nearest neighbours and their distance in Å.
Fractional positions:
1 Ca 0.0000 0.0000 0.0000  2 Tc 2.57
2 Nb 0.5000 0.5000 0.0000  8 Pb 3.72, 4 Ca 3.80
3 Tc 0.0000 0.0000 0.5000  2 Ca 2.57, 4 Pb 2.69
4 Pb 0.0000 0.5000 0.5000  2 Tc 2.69
5 Pb 0.5000 0.0000 0.5000  2 Tc 2.69


CaNb2TlPb | PBE | relaxed

## Properties
Total magnetization   0.000 μB/f.u.
ΔE_f   1773 meV/atom

Unit cell a=4.9736 b=4.9736 c=5.5482 alpha=90.00 beta=90.00 gamma=90.00
Last column: nearest neighbours and their distance in Å.
Fractional positions:
1 Ca 0.0000 0.0000 0.0000  4 Nb 2.49, 2 Tl 2.77
2 Nb 0.0000 0.5000 0.0000  2 Ca 2.49
3 Nb 0.5000 0.0000 0.0000  2 Ca 2.49
4 Tl 0.0000 0.0000 0.5000  2 Ca 2.77
5 Pb 0.5000 0.5000 0.5000  4 Tl 3.52, 8 Nb 3.73


CaNbV2Pb | PBE | relaxed

## Properties
Total magnetization   0.966 μB/f.u.
ΔE_f   1649 meV/atom

Unit cell a=5.0432 b=5.0432 c=5.2975 alpha=90.00 beta=90.00 gamma=90.00
Last column: nearest neighbours and their distance in Å.
Fractional positions:
1 Ca 0.0000 0.0000 0.0000  4 Nb 3.57, 8 V 3.66
2 Nb 0.5000 0.5000 0.0000  2 Pb 2.65
3 V 0.0000 0.5000 0.5000  2 Pb 2.52
4 V 0.5000 0.0000 0.5000  2 Pb 2.52
5 Pb 0.5000 0.5000 0.5000  4 V 2.52, 2 Nb 2.65


CaNbV2Pb | PBE | relaxed

## Properties
Total magnetization   3.387 μB/f.u.
ΔE_f   844 meV/atom

Unit cell a=4.7918 b=4.7918 c=5.5055 alpha=90.00 beta=90.00 gamma=90.00
Last column: nearest neighbours and their distance in Å.
Fractional positions:
1 Ca 0.0000 0.0000 0.0000  4 Pb 3.39, 8 V 3.65
2 Nb 0.5000 0.5000 0.5000  4 V 2.40
3 V 0.0000 0.5000 0.5000  2 Nb 2.40
4 V 0.5000 0.0000 0.5000  2 Nb 2.40
5 Pb 0.5000 0.5000 0.0000  2 Nb 2.75


CaNb2Pd | PBE | relaxed

## Properties
Total magnetization   0.000 μB/f.u.
ΔE_f   381 meV/atom

Unit cell a=3.8618 b=3.8618 c=22.3432 alpha=90.00 beta=90.00 gamma=90.00
Last column: nearest neighbours and their distance in Å.
Fractional positions:
1 Ca 0.0000 0.0000 0.0000  4 Pd 2.73
2 Ca 0.0000 0.5000 0.2500  4 Pd 2.73
3 Ca 0.5000 0.0000 0.7500  4 Pd 2.73
4 Ca 0.5000 0.5000 0.5000  4 Pd 2.73
5 Nb 0.2364 0.2500 0.6250  4 Nb 2.66-2.81
6 Nb 0.2500 0.7364 0.8750  4 Nb 2.66-2.81
7 Nb 0.2500 0.7636 0.3750  4 Nb 2.66-2.81
8 Nb 0.2636 0.2500 0.1250  4 Nb 2.66-2.81
9 Nb 0.7364 0.7500 0.1250  4 Nb 2.66-2.81
10 Nb 0.7500 0.2364 0.3750  4 Nb 2.66-2.81
11 Nb 0.7500 0.2636 0.8750  4 Nb 2.66-2.81
12 Nb 0.7636 0.7500 0.6250  4 Nb 2.66-2.81
13 Pd 0.0000 0.0000 0.5000  4 Ca 2.73
14 Pd 0.0000 0.5000 0.7500  4 Ca 2.73
15 Pd 0.5000 0.0000 0.2500  4 Ca 2.73
16 Pd 0.5000 0.5000 0.0000  4 Ca 2.73


CaNbPd2 | PBE | relaxed

## Properties
Total magnetization   0.000 μB/f.u.
ΔE_f   -328 meV/atom

Unit cell a=3.1203 b=3.1203 c=7.7383 alpha=90.00 beta=90.00 gamma=90.00
Last column: nearest neighbours and their distance in Å.
Fractional positions:
1 Ca 0.0000 0.0000 0.0000  8 Pd 3.07, 4 Ca 3.12
2 Nb 0.0000 0.0000 0.5000  8 Pd 2.81, 4 Nb 3.12
3 Pd 0.5000 0.5000 0.2758  4 Nb 2.81, 4 Ca 3.07, 4 Pd 3.12
4 Pd 0.5000 0.5000 0.7242  4 Nb 2.81, 4 Ca 3.07, 4 Pd 3.12


Ca2NbPd | PBE | relaxed

## Properties
Total magnetization   4.177 μB/f.u.
ΔE_f   349 meV/atom

Unit cell a=7.3191 b=7.3191 c=7.3191 alpha=90.00 beta=90.00 gamma=90.00
Last column: nearest neighbours and their distance in Å.
Fractional positions:
1 Ca 0.2500 0.2500 0.2500  4 Nb 3.17, 4 Pd 3.17
2 Ca 0.2500 0.2500 0.7500  4 Nb 3.17, 4 Pd 3.17
3 Ca 0.2500 0.7500 0.2500  4 Nb 3.17, 4 Pd 3.17
4 Ca 0.2500 0.7500 0.7500  4 Nb 3.17, 4 Pd 3.17
5 Ca 0.7500 0.2500 0.2500  4 Nb 3.17, 4 Pd 3.17
6 Ca 0.7500 0.2500 0.7500  4 Nb 3.17, 4 Pd 3.17
7 Ca 0.7500 0.7500 0.2500  4 Nb 3.17, 4 Pd 3.17
8 Ca 0.7500 0.7500 0.7500  4 Nb 3.17, 4 Pd 3.17
9 Nb 0.0000 0.0000 0.0000  8 Ca 3.17
10 Nb 0.0000 0.5000 0.5000  8 Ca 3.17
11 Nb 0.5000 0.0000 0.5000  8 Ca 3.17
12 Nb 0.5000 0.5000 0.0000  8 Ca 3.17
13 Pd 0.0000 0.0000 0.5000  8 Ca 3.17
14 Pd 0.0000 0.5000 0.0000  8 Ca 3.17
15 Pd 0.5000 0.0000 0.0000  8 Ca 3.17
16 Pd 0.5000 0.5000 0.5000  8 Ca 3.17


CaNbPd3 | PBE | relaxed

## Properties
Total magnetization   0.000 μB/f.u.
ΔE_f   219 meV/atom

Unit cell a=4.9114 b=4.9114 c=4.9114 alpha=90.00 beta=90.00 gamma=90.00
Last column: nearest neighbours and their distance in Å.
Fractional positions:
1 Ca 0.0000 0.0000 0.0000  12 Pd 3.47
2 Nb 0.5000 0.5000 0.5000  6 Pd 2.46
3 Pd 0.0000 0.5000 0.5000  2 Nb 2.46
4 Pd 0.5000 0.0000 0.5000  2 Nb 2.46
5 Pd 0.5000 0.5000 0.0000  2 Nb 2.46


Ca2NbPd | PBE | relaxed

## Properties
Total magnetization   2.731 μB/f.u.
ΔE_f   509 meV/atom

Unit cell a=8.2662 b=8.2662 c=5.9622 alpha=90.00 beta=90.00 gamma=90.00
Last column: nearest neighbours and their distance in Å.
Fractional positions:
1 Ca 0.2026 0.2500 0.1250  2 Pd 2.76, 2 Ca 3.08
2 Ca 0.2500 0.7026 0.3750  2 Pd 2.76, 2 Ca 3.08
3 Ca 0.2500 0.7974 0.8750  2 Pd 2.76, 2 Ca 3.08
4 Ca 0.2974 0.2500 0.6250  2 Pd 2.76, 2 Ca 3.08
5 Ca 0.7026 0.7500 0.6250  2 Pd 2.76, 2 Ca 3.08
6 Ca 0.7500 0.2026 0.8750  2 Pd 2.76, 2 Ca 3.08
7 Ca 0.7500 0.2974 0.3750  2 Pd 2.76, 2 Ca 3.08
8 Ca 0.7974 0.7500 0.1250  2 Pd 2.76, 2 Ca 3.08
9 Nb 0.0000 0.0000 0.5000  2 Pd 2.98, 4 Ca 3.30
10 Nb 0.0000 0.5000 0.7500  2 Pd 2.98, 4 Ca 3.30
11 Nb 0.5000 0.0000 0.2500  2 Pd 2.98, 4 Ca 3.30
12 Nb 0.5000 0.5000 0.0000  2 Pd 2.98, 4 Ca 3.30
13 Pd 0.0000 0.0000 0.0000  4 Ca 2.76, 2 Nb 2.98
14 Pd 0.0000 0.5000 0.2500  4 Ca 2.76, 2 Nb 2.98
15 Pd 0.5000 0.0000 0.7500  4 Ca 2.76, 2 Nb 2.98
16 Pd 0.5000 0.5000 0.5000  4 Ca 2.76, 2 Nb 2.98


CaNbPd2 | PBE | relaxed

## Properties
Total magnetization   1.566 μB/f.u.
ΔE_f   121 meV/atom

Unit cell a=7.4630 b=7.4630 c=6.0431 alpha=90.00 beta=90.00 gamma=90.00
Last column: nearest neighbours and their distance in Å.
Fractional positions:
1 Ca 0.0000 0.0000 0.0000  4 Pd 2.92, 2 Nb 3.02
2 Ca 0.0000 0.5000 0.2500  4 Pd 2.92, 2 Nb 3.02
3 Ca 0.5000 0.0000 0.7500  4 Pd 2.92, 2 Nb 3.02
4 Ca 0.5000 0.5000 0.5000  4 Pd 2.92, 2 Nb 3.02
5 Nb 0.0000 0.0000 0.5000  4 Pd 2.58
6 Nb 0.0000 0.5000 0.7500  4 Pd 2.58
7 Nb 0.5000 0.0000 0.2500  4 Pd 2.58
8 Nb 0.5000 0.5000 0.0000  4 Pd 2.58
9 Pd 0.2169 0.2500 0.6250  2 Nb 2.58
10 Pd 0.2500 0.7169 0.8750  2 Nb 2.58
11 Pd 0.2500 0.7831 0.3750  2 Nb 2.58
12 Pd 0.2831 0.2500 0.1250  2 Nb 2.58
13 Pd 0.7169 0.7500 0.1250  2 Nb 2.58
14 Pd 0.7500 0.2169 0.3750  2 Nb 2.58
15 Pd 0.7500 0.2831 0.8750  2 Nb 2.58
16 Pd 0.7831 0.7500 0.6250  2 Nb 2.58


CaNbPd2 | PBE | relaxed

## Properties
Total magnetization   0.000 μB/f.u.
ΔE_f   -164 meV/atom

Unit cell a=6.7011 b=6.7011 c=6.7011 alpha=90.00 beta=90.00 gamma=90.00
Last column: nearest neighbours and their distance in Å.
Fractional positions:
1 Ca 0.0000 0.0000 0.0000  8 Pd 2.90
2 Ca 0.0000 0.5000 0.5000  8 Pd 2.90
3 Ca 0.5000 0.0000 0.5000  8 Pd 2.90
4 Ca 0.5000 0.5000 0.0000  8 Pd 2.90
5 Nb 0.0000 0.0000 0.5000  8 Pd 2.90
6 Nb 0.0000 0.5000 0.0000  8 Pd 2.90
7 Nb 0.5000 0.0000 0.0000  8 Pd 2.90
8 Nb 0.5000 0.5000 0.5000  8 Pd 2.90
9 Pd 0.2500 0.2500 0.2500  4 Nb 2.90, 4 Ca 2.90
10 Pd 0.2500 0.2500 0.7500  4 Nb 2.90, 4 Ca 2.90
11 Pd 0.2500 0.7500 0.2500  4 Nb 2.90, 4 Ca 2.90
12 Pd 0.2500 0.7500 0.7500  4 Nb 2.90, 4 Ca 2.90
13 Pd 0.7500 0.2500 0.2500  4 Nb 2.90, 4 Ca 2.90
14 Pd 0.7500 0.2500 0.7500  4 Nb 2.90, 4 Ca 2.90
15 Pd 0.7500 0.7500 0.2500  4 Nb 2.90, 4 Ca 2.90
16 Pd 0.7500 0.7500 0.7500  4 Nb 2.90, 4 Ca 2.90